First-principles (PBE) data for a geometry-optimized K2RbCrBi structure, as listed in Alexandria via LeMat-Bulk.

```
data_K2RbCrBi
_chemical_formula_sum 'K2 Rb1 Cr1 Bi1'
_space_group_name_H-M_alt 'P 1'
_space_group_IT_number 1
_space_group_name_Hall 'P 1'
_cell_length_a 6.857
_cell_length_b 7.132
_cell_length_c 6.857
_cell_angle_alpha 90.00
_cell_angle_beta 90.00
_cell_angle_gamma 90.00
loop_
_atom_site_label
_atom_site_type_symbol
_atom_site_fract_x
_atom_site_fract_y
_atom_site_fract_z
Cr1 Cr 0.500 0.500 0.500
K1 K 0.000 0.000 0.500
K2 K 0.500 0.000 0.000
Bi1 Bi 0.000 0.000 0.000
Rb1 Rb 0.000 0.500 0.000
```

Output
energy	-2.8031	eV/atom
energy of formation	0.53	eV per atom
crystal system	tetragonal



First-principles (PBE) data for a geometry-optimized RbAlGe structure, as listed in Alexandria via LeMat-Bulk.

```
data_RbAlGe
_chemical_formula_sum 'Rb2 Al2 Ge2'
_space_group_name_H-M_alt 'P 1'
_space_group_IT_number 1
_space_group_name_Hall 'P 1'
_cell_length_a 30.761
_cell_length_b 9.302
_cell_length_c 9.302
_cell_angle_alpha 153.55
_cell_angle_beta 163.02
_cell_angle_gamma 16.98
loop_
_atom_site_label
_atom_site_type_symbol
_atom_site_fract_x
_atom_site_fract_y
_atom_site_fract_z
Ge1 Ge 0.599 0.983 0.017
Ge2 Ge 0.401 0.017 0.983
Al1 Al 0.548 0.213 0.787
Al2 Al 0.452 0.787 0.213
Rb1 Rb 0.108 0.682 0.318
Rb2 Rb 0.892 0.318 0.682
```

Output
energy	-3.0959	eV/atom
energy of formation	0.01	eV per atom
crystal system	monoclinic



First-principles (PBE) data for a geometry-optimized Si2AgAs structure, as listed in Alexandria via LeMat-Bulk.

```
data_Si2AgAs
_chemical_formula_sum 'Si2 Ag1 As1'
_space_group_name_H-M_alt 'P 1'
_space_group_IT_number 1
_space_group_name_Hall 'P 1'
_cell_length_a 4.839
_cell_length_b 4.839
_cell_length_c 4.839
_cell_angle_alpha 127.16
_cell_angle_beta 127.16
_cell_angle_gamma 77.99
loop_
_atom_site_label
_atom_site_type_symbol
_atom_site_fract_x
_atom_site_fract_y
_atom_site_fract_z
Ag1 Ag 0.500 0.500 0.000
As1 As 0.750 0.250 0.500
Si1 Si 0.000 0.000 0.000
Si2 Si 0.250 0.750 0.500
```

Output
energy	-4.0566	eV/atom
uncorrected formation energy	0.5301	eV/atom
crystal system	tetragonal



First-principles (PBE) data for a geometry-optimized PmHg2 structure, as listed in Alexandria via LeMat-Bulk.

```
data_PmHg2
_chemical_formula_sum 'Pm2 Hg4'
_space_group_name_H-M_alt 'P 1'
_space_group_IT_number 1
_space_group_name_Hall 'P 1'
_cell_length_a 6.013
_cell_length_b 6.013
_cell_length_c 6.013
_cell_angle_alpha 60.00
_cell_angle_beta 60.00
_cell_angle_gamma 60.00
loop_
_atom_site_label
_atom_site_type_symbol
_atom_site_fract_x
_atom_site_fract_y
_atom_site_fract_z
Hg1 Hg 0.125 0.625 0.625
Hg2 Hg 0.625 0.125 0.625
Hg3 Hg 0.625 0.625 0.625
Hg4 Hg 0.625 0.625 0.125
Pm1 Pm 0.000 0.000 0.000
Pm2 Pm 0.250 0.250 0.250
```

Output
energy	-2.0518	eV/atom
energy of formation	-0.27	eV per atom
crystal system	cubic



Question: energy of number 2 (RbAlGe)?
Answer: -3.0959 eV/atom



Question: The lowest energy belongs to which entry?
Answer: Si2AgAs



Question: Among the records above, which one has the lowest energy?
Answer: Si2AgAs



Question: The lowest energy belongs to which entry?
Answer: Si2AgAs